Density functional theory data (PBE) for FeI2 after structural relaxation.

electronic total energy = -23.32 eV for the cell shown
density = 5.22 g cm⁻³
size of the total moment = 7.99 μB per cell

Geometry as CIF:
```
data_FeI2
_cell_length_a 4.0125
_cell_length_b 4.0125
_cell_length_c 14.1427
_cell_angle_alpha 90.00
_cell_angle_beta 90.00
_cell_angle_gamma 120.00
_symmetry_space_group_name_H-M 'P 63 m c'
_symmetry_Int_Tables_number 186
_symmetry_space_group_name_Hall 'P 6c -2c'
loop_
_atom_site_label
_atom_site_type_symbol
_atom_site_fract_x
_atom_site_fract_y
_atom_site_fract_z
_atom_site_occupancy
Fe1 Fe 0.3333 0.6667 0.0000 1
I1 I 0.0000 0.0000 0.1135 1
I2 I 0.3333 0.6667 0.3865 1
```